[1]
The following is a PBE calculation of crystalline La2NdGa2Ni4 at its relaxed geometry, from OQMD via LeMat-Bulk.

Summary:
Its space-group type is C2/m, No. 12. The total DFT energy (no corrections) comes out at -47.468 eV for the cell shown. The value obtained for the magnetic moment is 0.001 μB/f.u.

a = 5.491 Å, b = 5.491 Å, c = 8.325 Å
α = 98.15°, β = 98.15°, γ = 44.96°
Sites, in units of the cell vectors:
La  0.124  0.124  0.377
La  0.876  0.876  0.623
Nd  0.500  0.500  0.000
Ga  0.178  0.178  0.788
Ga  0.822  0.822  0.212
Ni  0.238  0.238  0.086
Ni  0.416  0.416  0.362
Ni  0.584  0.584  0.638
Ni  0.762  0.762  0.914



[2]
The following is a PBE calculation of crystalline LaNdGa2Ni4 at its relaxed geometry, from OQMD via LeMat-Bulk.

Summary:
Its space-group type is P-6m2, No. 187. The total DFT energy (no corrections) comes out at -42.175 eV for the cell shown. The value obtained for the magnetic moment is 0.005 μB/f.u.

a = 4.196 Å, b = 4.196 Å, c = 9.473 Å
α = 90.00°, β = 90.00°, γ = 120.00°
Sites, in units of the cell vectors:
La  0.000  0.000  0.000
Nd  0.333  0.667  0.500
Ga  0.667  0.333  0.256
Ga  0.667  0.333  0.744
Ni  0.000  0.000  0.302
Ni  0.000  0.000  0.698
Ni  0.333  0.667  0.201
Ni  0.333  0.667  0.799



[3]
The following is a PBE calculation of crystalline LaGa3Ni at its relaxed geometry, from OQMD via LeMat-Bulk.

Summary:
Its space-group type is I4mm, No. 107. The total DFT energy (no corrections) comes out at -22.742 eV for the cell shown. The value obtained for the magnetic moment is 0.000 μB/f.u.

a = 5.978 Å, b = 5.978 Å, c = 5.978 Å
α = 137.87°, β = 137.87°, γ = 61.10°
Sites, in units of the cell vectors:
La  0.000  0.000  0.000
Ga  0.246  0.746  0.500
Ga  0.409  0.409  0.000
Ga  0.746  0.246  0.500
Ni  0.639  0.639  0.000



[4]
The following is a PBE calculation of crystalline La2GaNi at its relaxed geometry, from OQMD via LeMat-Bulk.

Summary:
Its space-group type is Amm2, No. 38. The total DFT energy (no corrections) comes out at -20.133 eV for the cell shown. The value obtained for the magnetic moment is 0.015 μB/f.u.

a = 4.466 Å, b = 6.106 Å, c = 6.106 Å
α = 37.37°, β = 90.00°, γ = 90.00°
Sites, in units of the cell vectors:
La  0.000  0.000  0.000
La  0.500  0.281  0.281
Ga  0.500  0.574  0.574
Ni  0.000  0.694  0.694